# NaSr3Zn (PBE-GGA, relaxed)
data_NaSr3Zn
_chemical_formula_sum 'Na4 Sr12 Zn4'
_space_group_name_H-M_alt 'C 1 m 1'
_space_group_IT_number 8
_cell_length_a 18.9331
_cell_length_b 4.4915
_cell_length_c 10.1071
_cell_angle_alpha 90.00
_cell_angle_beta 90.38
_cell_angle_gamma 90.00
loop_
_space_group_symop_operation_xyz
'x,y,z'
'x,-y,z'
'x+1/2,y+1/2,z'
'x+1/2,-y+1/2,z'
loop_
_atom_site_label
_atom_site_type_symbol
_atom_site_fract_x
_atom_site_fract_y
_atom_site_fract_z
_atom_site_occupancy
Na1 Na 0.0000 0.0000 0.0000 1
Na2 Na 0.1885 0.0000 0.8668 1
Sr1 Sr 0.0375 0.5000 0.7011 1
Sr2 Sr 0.1511 0.5000 0.1656 1
Sr3 Sr 0.2018 0.0000 0.4923 1
Sr4 Sr 0.3422 0.0000 0.1430 1
Sr5 Sr 0.3464 0.5000 0.7239 1
Sr6 Sr 0.4869 0.5000 0.3743 1
Zn1 Zn 0.3145 0.5000 0.3848 1
Zn2 Zn 0.3745 0.0000 0.4824 1
# - Calculated volume: 859.5 Å³/cell
# - Distance to the lowest polymorph of the same formula: 0.0000 eV per atom
# - Energy of formation from the pure elements: -6.2 kJ per mole of atoms
# - Total magnetization: 0.00 μB per cell

# CdCo2As (PBE-GGA, relaxed)
data_CdCo2As
_chemical_formula_sum 'Cd3 Co6 As3'
_space_group_name_H-M_alt 'R 3 m'
_space_group_IT_number 160
_space_group_name_Hall 'R 3 -2"'
_cell_length_a 2.8670
_cell_length_b 2.8670
_cell_length_c 26.9326
_cell_angle_alpha 90.00
_cell_angle_beta 90.00
_cell_angle_gamma 120.00
loop_
_atom_site_label
_atom_site_type_symbol
_atom_site_fract_x
_atom_site_fract_y
_atom_site_fract_z
_atom_site_occupancy
Cd1 Cd 0.0000 0.0000 0.0000 1
Co1 Co 0.0000 0.0000 0.2478 1
Co2 Co 0.0000 0.0000 0.5139 1
As1 As 0.0000 0.0000 0.7829 1
# - Calculated volume: 191.7 Å³/cell
# - Distance to the lowest polymorph of the same formula: 0.1803 eV per atom
# - Energy of formation from the pure elements: 25.2 kJ per mole of atoms
# - Total magnetization: 8.92 μB per cell

# LaNbAl2 (PBE-GGA, relaxed)
data_LaNbAl2
_chemical_formula_sum 'La4 Nb4 Al8'
_space_group_name_H-M_alt 'I -4 2 d'
_space_group_IT_number 122
_space_group_name_Hall 'I -4 2bw'
_cell_length_a 4.6789
_cell_length_b 4.6789
_cell_length_c 18.9975
_cell_angle_alpha 90.00
_cell_angle_beta 90.00
_cell_angle_gamma 90.00
loop_
_atom_site_label
_atom_site_type_symbol
_atom_site_fract_x
_atom_site_fract_y
_atom_site_fract_z
_atom_site_occupancy
La1 La 0.0000 0.0000 0.0000 1
Nb1 Nb 0.0000 0.0000 0.5000 1
Al1 Al 0.1101 0.2500 0.6250 1
# - Calculated volume: 415.9 Å³/cell
# - Distance to the lowest polymorph of the same formula: 0.3669 eV per atom
# - Energy of formation from the pure elements: 35.2 kJ per mole of atoms
# - Total magnetization: 0.00 μB per cell

# Ba6PdSe5 (PBE-GGA, relaxed)
data_Ba6PdSe5
_chemical_formula_sum 'Ba12 Pd2 Se10'
_space_group_name_H-M_alt 'C 1 2/m 1'
_space_group_IT_number 12
_cell_length_a 8.1753
_cell_length_b 14.1596
_cell_length_c 8.1734
_cell_angle_alpha 90.00
_cell_angle_beta 109.47
_cell_angle_gamma 90.00
loop_
_space_group_symop_operation_xyz
'x,y,z'
'-x,-y,-z'
'-x,y,-z'
'x,-y,z'
'x+1/2,y+1/2,z'
'-x+1/2,-y+1/2,-z'
'-x+1/2,y+1/2,-z'
'x+1/2,-y+1/2,z'
loop_
_atom_site_label
_atom_site_type_symbol
_atom_site_fract_x
_atom_site_fract_y
_atom_site_fract_z
_atom_site_occupancy
Ba1 Ba 0.2492 0.0000 0.2505 1
Ba2 Ba 0.2493 0.1662 0.7492 1
Pd1 Pd 0.0000 0.0000 0.5000 1
Se1 Se 0.0000 0.1673 0.0000 1
Se2 Se 0.0000 0.3335 0.5000 1
Se3 Se 0.0000 0.5000 0.0000 1
# - Uncorrected formation energy: -40.66 kcal/mol of atoms
# - Calculated volume: 892.0 Å³/cell
# - Total magnetization: 0.00 μB per cell

# ThTaSi2Ru (PBE-GGA, relaxed)
data_ThTaSi2Ru
_chemical_formula_sum 'Th2 Ta2 Si4 Ru2'
_space_group_name_H-M_alt 'I -4 m 2'
_space_group_IT_number 119
_space_group_name_Hall 'I -4 -2'
_cell_length_a 4.0947
_cell_length_b 4.0947
_cell_length_c 11.0155
_cell_angle_alpha 90.00
_cell_angle_beta 90.00
_cell_angle_gamma 90.00
loop_
_atom_site_label
_atom_site_type_symbol
_atom_site_fract_x
_atom_site_fract_y
_atom_site_fract_z
_atom_site_occupancy
Th1 Th 0.0000 0.0000 0.0000 1
Ta1 Ta 0.0000 0.5000 0.2500 1
Si1 Si 0.0000 0.0000 0.3888 1
Ru1 Ru 0.0000 0.5000 0.7500 1
# - Uncorrected formation energy: -14.93 kcal/mol of atoms
# - Calculated volume: 184.7 Å³/cell
# - Total magnetization: 0.00 μB per cell

# SmScBi2 (PBE-GGA, relaxed)
data_SmScBi2
_chemical_formula_sum 'Sm3 Sc3 Bi6'
_space_group_name_H-M_alt 'R -3 m'
_space_group_IT_number 166
_space_group_name_Hall '-R 3 2"'
_cell_length_a 4.4205
_cell_length_b 4.4205
_cell_length_c 21.5700
_cell_angle_alpha 90.00
_cell_angle_beta 90.00
_cell_angle_gamma 120.00
loop_
_atom_site_label
_atom_site_type_symbol
_atom_site_fract_x
_atom_site_fract_y
_atom_site_fract_z
_atom_site_occupancy
Sm1 Sm 0.0000 0.0000 0.0000 1
Sc1 Sc 0.0000 0.0000 0.5000 1
Bi1 Bi 0.0000 0.0000 0.2433 1
# - Calculated volume: 365.0 Å³/cell
# - Distance to the lowest polymorph of the same formula: 0.0000 eV per atom
# - Energy of formation from the pure elements: -75.7 kJ per mole of atoms
# - Total magnetization: 0.00 μB per cell

- Among the records above, which one has the highest calculated volume?
  Ba6PdSe5